This record from the Alexandria database describes a relaxed SrPrNiRuO6 crystal. The functional is PBE+U.

* space group: Pc, No. 7
* VASP energy: -6.821 eV per atom

Cell lengths 5.675, 5.577, 9.672 Å; angles 54.80, 90.00, 90.00 degrees
Each line ends with the local moment (μB).
Fractional positions:
O  0.537  0.761  0.963  0.15
O  0.962  0.848  0.456  0.16
Sr  0.212  0.757  0.250  0.01
Pr  0.699  0.239  0.249  0.03
Ni  0.755  0.500  0.500  1.79
O  0.950  0.245  0.043  0.16
Ru  0.752  0.000  0.000  1.98
O  0.038  0.848  0.956  0.16
O  0.050  0.245  0.543  0.16
O  0.236  0.668  0.744  0.15
Ni  0.245  0.500  0.000  1.79
O  0.728  0.311  0.756  0.16
O  0.764  0.668  0.244  0.15
O  0.463  0.761  0.463  0.15
O  0.475  0.172  0.040  0.15
Pr  0.301  0.239  0.749  0.03
Ru  0.248  0.000  0.500  1.98
Sr  0.788  0.757  0.750  0.01
O  0.272  0.311  0.256  0.16
O  0.525  0.172  0.540  0.15